1.
Here is MnFeSi2 after structural relaxation from the Alexandria database. Energies are from PBE.

Cell lengths 2.7747, 2.7747, 5.5533 Å; angles 90.00, 90.00, 90.00 degrees
Last column: nearest neighbours and their distance in Å.
Space group P4/mmm (No. 123)
Unique sites:
Mn: 0.0000 0.0000 0.0000 (multiplicity 1)  8 Si 2.40
Fe: 0.0000 0.0000 0.5000 (multiplicity 1)  8 Si 2.41
Si: 0.5000 0.5000 0.2494 (multiplicity 2)  4 Mn 2.40, 4 Fe 2.41

Energy relative to the elements, uncorrected (kcal/mol of atoms): -9.56
D(E_F) (states/eV per cell): 3.18


2.
Here is Ce2ThSi after structural relaxation from the Alexandria database. Energies are from PBE.

Cell lengths 4.3225, 4.2921, 11.2501 Å; angles 90.00, 100.64, 90.00 degrees
Last column: nearest neighbours and their distance in Å.
Space group P2_1/m (No. 11)
Unique sites:
Ce: 0.0170 0.2500 0.1271 (multiplicity 2)  2 Ce 2.80, 2 Si 3.10
Ce: 0.4008 0.2500 0.8774 (multiplicity 2)  2 Ce 2.80, 1 Si 3.07
Th: 0.2981 0.7500 0.6063 (multiplicity 2)  5 Si 3.08-3.15
Si: 0.1762 0.7500 0.3276 (multiplicity 2)  4 Ce 3.07-3.20, 5 Th 3.08-3.15

Excess energy over the best structure of this formula in the dataset (meV/atom): 0
Energy relative to the elements, uncorrected (kcal/mol of atoms): -8.34
D(E_F) (states/eV per cell): 14.55


3.
Here is Ca2FeTe after structural relaxation from the Alexandria database. Energies are from PBE.

Cell lengths 8.0722, 8.0722, 7.2003 Å; angles 90.00, 90.00, 90.00 degrees
Last column: nearest neighbours and their distance in Å.
Space group I-42d (No. 122)
Unique sites:
Ca: 0.2326 0.2500 0.1250 (multiplicity 8)  2 Fe 2.90, 2 Te 3.09
Fe: 0.0000 0.0000 0.0000 (multiplicity 4)  4 Ca 2.90
Te: 0.0000 0.0000 0.5000 (multiplicity 4)  4 Ca 3.09

Excess energy over the best structure of this formula in the dataset (meV/atom): 378
Energy relative to the elements, uncorrected (kcal/mol of atoms): 0.34
D(E_F) (states/eV per cell): 27.32


4.
Here is In5Bi3Pb4 after structural relaxation from the Alexandria database. Energies are from PBE.

Cell lengths 6.0162, 8.4362, 9.0119 Å; angles 109.10, 101.86, 110.05 degrees
Last column: nearest neighbours and their distance in Å.
Space group P-1 (No. 2)
Unique sites:
In: 0.0000 0.0000 0.0000 (multiplicity 1)  2 Bi 3.01, 2 Pb 3.26
In: 0.1877 0.6023 0.6886 (multiplicity 2)  2 Bi 3.14-3.16, 2 In 3.16-3.46, 3 Pb 3.36-3.41
In: 0.3706 0.0135 0.6406 (multiplicity 2)  4 Bi 3.22-3.54, 2 In 3.22-3.46, 2 Pb 3.36-3.59
Bi: 0.0368 0.2488 0.7623 (multiplicity 2)  4 In 3.14-3.44, 3 Pb 3.27-3.48
Bi: 0.5000 0.0000 0.0000 (multiplicity 1)  6 In 3.01-3.22
Pb: 0.2750 0.2692 0.4034 (multiplicity 2)  6 In 3.26-3.65, 3 Pb 3.44-3.57
Pb: 0.3221 0.5174 0.1660 (multiplicity 2)  3 Bi 3.27-3.48, 3 In 3.36-3.57, 2 Pb 3.44-3.57

Energy of formation from the pure elements (eV per atom): 0.0596
D(E_F) (states/eV per cell): 5.25


5.
Here is NdSmTe2Se after structural relaxation from the Alexandria database. Energies are from PBE.

Cell lengths 4.4036, 4.4036, 15.8220 Å; angles 90.00, 90.00, 90.00 degrees
Last column: nearest neighbours and their distance in Å.
Space group P4/nmm (No. 129, origin choice 2)
Unique sites:
Nd: 0.2500 0.2500 0.1307 (multiplicity 2)  4 Se 3.02, 4 Te 3.35
Sm: 0.2500 0.2500 0.5914 (multiplicity 2)  6 Te 3.13-3.20
Te: 0.2500 0.2500 0.3892 (multiplicity 2)  5 Sm 3.13-3.20
Te: 0.2500 0.2500 0.7919 (multiplicity 2)  1 Sm 3.17, 4 Nd 3.35
Se: 0.2500 0.7500 0.0000 (multiplicity 2)  4 Nd 3.02, 4 Se 3.11

Energy relative to the elements, uncorrected (kcal/mol of atoms): -33.23
D(E_F) (states/eV per cell): 3.55


6.
Here is CaAc2Ir after structural relaxation from the Alexandria database. Energies are from PBE.

Cell lengths 4.3391, 4.3391, 30.0851 Å; angles 90.00, 90.00, 120.00 degrees
Last column: nearest neighbours and their distance in Å.
Space group R3m (No. 160, hexagonal axes)
Unique sites:
Ca: 0.0000 0.0000 0.0000 (multiplicity 3)  6 Ac 4.21-4.27, 6 Ca 4.34
Ac: 0.0000 0.0000 0.2210 (multiplicity 3)  3 Ir 2.97
Ac: 0.0000 0.0000 0.4483 (multiplicity 3)  3 Ir 2.97
Ir: 0.0000 0.0000 0.8349 (multiplicity 3)  6 Ac 2.97

Energy of formation from the pure elements (eV per atom): -0.4055
Excess energy over the best structure of this formula in the dataset (meV/atom): 12
D(E_F) (states/eV per cell): 11.23